Record 1
Below is a relaxed structure of SmNi2Sn2, with properties calculated at the PBE-GGA level.

Unit cell a=4.416 b=4.416 c=10.209 alpha=90.00 beta=90.00 gamma=90.00
Space group P4/nmm (No. 129, origin choice 2)
Unique sites:
Sm1 0.250 0.250 0.238 [2 per cell]
Ni1 0.250 0.250 0.630 [2 per cell]
Ni2 0.250 0.750 0.000 [2 per cell]
Sn1 0.250 0.250 0.874 [2 per cell]
Sn2 0.250 0.750 0.500 [2 per cell]

Computed properties:
Uncorrected energy, eV per atom: -5.381

***

Record 2
Below is a relaxed structure of Sm2Ni2Sn3, with properties calculated at the PBE-GGA level.

Unit cell a=4.477 b=19.437 c=7.155 alpha=90.00 beta=90.00 gamma=90.00
Space group Cmcm (No. 63)
Unique sites:
Sm1 0.000 0.040 0.250 [4 per cell]
Sm2 0.000 0.165 0.750 [4 per cell]
Ni1 0.000 0.295 0.553 [8 per cell]
Sn1 0.000 0.215 0.250 [4 per cell]
Sn2 0.000 0.426 0.046 [8 per cell]

Computed properties:
Uncorrected energy, eV per atom: -5.284

***

| no. | spin magnetization (μB/f.u.) | ΔH_f (0 K) (eV/atom) |
| --- | --- | --- |
| 1 | 0.00 | -0.524 |
| 2 | 0.00 | -0.569 |